# 1
! CuNiSe2 PBE-GGA relaxed; values from VASP
! Density of states at the Fermi level in states/eV per atom: 0.653
! SG: Cmcm (63)
! Formation energy without anion corrections in meV per atom: -13
&SYSTEM
  ibrav = 0, nat = 8, ntyp = 3
/
ATOMIC_SPECIES
Cu 63.55 Cu.upf
Se 78.96 Se.upf
Ni 58.69 Ni.upf
ATOMIC_POSITIONS angstrom
Cu 1.632 -9.932 3.013
Se 1.632 8.699 3.013
Ni 1.632 3.867 1.004
Se 1.632 -8.699 1.004
Ni 1.632 -3.867 3.013
Se 1.632 6.231 1.004
Cu 1.632 9.932 1.004
Se 1.632 -6.231 3.013
CELL_PARAMETERS angstrom
1.632 -10.628 0.000
1.632 10.628 0.000
0.000 0.000 4.017

***

# 2
! Ba2TeRuN PBE-GGA relaxed; values from VASP
! Density of states at the Fermi level in states/eV per atom: 0.801
! SG: P4/mmm (123)
! Formation energy without anion corrections in meV per atom: -700
&SYSTEM
  ibrav = 0, nat = 5, ntyp = 4
/
ATOMIC_SPECIES
Ru 101.07 Ru.upf
Ba 137.33 Ba.upf
N 14.01 N.upf
Te 127.60 Te.upf
ATOMIC_POSITIONS angstrom
Ru -0.869 -0.680 1.579
Ba 2.339 -1.802 0.511
Ba -1.296 -2.148 -1.639
N 0.000 0.000 0.000
Te 0.174 -4.630 0.452
CELL_PARAMETERS angstrom
-2.593 -4.296 -3.277
4.679 -3.603 1.023
-1.738 -1.360 3.159

***

# 3
! CaMg2Cd5 PBE-GGA relaxed; values from VASP
! Formation enthalpy at 0 K in eV per atom: -0.1226
! Energy relative to the lowest polymorph listed for this composition in eV per formula unit: 0.42
! Density of states at the Fermi level in states/eV per atom: 0.293
! SG: Immm (71)
&SYSTEM
  ibrav = 0, nat = 8, ntyp = 3
/
ATOMIC_SPECIES
Mg 24.30 Mg.upf
Ca 40.08 Ca.upf
Cd 112.41 Cd.upf
ATOMIC_POSITIONS angstrom
Mg 5.573 7.153 5.244
Ca 0.000 0.000 0.000
Cd 1.858 4.778 3.502
Cd 3.715 4.704 1.009
Mg 1.858 2.402 1.761
Cd 3.715 4.851 5.996
Cd 3.715 7.177 2.822
Cd 3.715 2.378 4.183
CELL_PARAMETERS angstrom
3.715 0.000 0.000
1.858 7.392 -0.064
1.858 2.163 7.069

***

# 4
! CuRuC3 PBE-GGA relaxed; values from VASP
! Formation enthalpy at 0 K in eV per atom: 2.2106
! Energy relative to the lowest polymorph listed for this composition in eV per formula unit: 0.00
! Density of states at the Fermi level in states/eV per atom: 0.740
! SG: Pm-3m (221)
&SYSTEM
  ibrav = 0, nat = 5, ntyp = 3
/
ATOMIC_SPECIES
C 12.01 C.upf
Cu 63.55 Cu.upf
Ru 101.07 Ru.upf
ATOMIC_POSITIONS angstrom
C 0.000 1.983 0.000
Cu 1.983 1.983 1.983
Ru 0.000 0.000 0.000
C 0.000 0.000 1.983
C 1.983 0.000 0.000
CELL_PARAMETERS angstrom
3.965 0.000 0.000
0.000 3.965 0.000
0.000 0.000 3.965

***

# 5
! NpCu2Ag2Te4 PBE-GGA relaxed; values from VASP
! Density of states at the Fermi level in states/eV per atom: 1.226
! SG: C2/m (12)
! Formation energy without anion corrections in meV per atom: -201
&SYSTEM
  ibrav = 0, nat = 9, ntyp = 4
/
ATOMIC_SPECIES
Te 127.60 Te.upf
Ag 107.87 Ag.upf
Cu 63.55 Cu.upf
Np 237.00 Np.upf
ATOMIC_POSITIONS angstrom
Te 2.116 -0.866 2.027
Ag 0.000 0.659 3.399
Te 0.000 2.842 1.271
Cu 0.000 4.868 -0.483
Np 0.000 0.000 0.000
Te 2.116 1.390 5.387
Te 0.000 5.098 4.632
Cu 2.116 -0.636 7.141
Ag 2.116 3.573 3.259
CELL_PARAMETERS angstrom
4.232 0.000 0.000
-2.116 7.764 -0.851
0.000 -3.532 7.510

***

# 6
! Ti3W PBE-GGA relaxed; values from VASP
! Formation enthalpy at 0 K in eV per atom: 0.0996
! Density of states at the Fermi level in states/eV per atom: 1.206
! SG: Pmm2 (25)
&SYSTEM
  ibrav = 0, nat = 4, ntyp = 2
/
ATOMIC_SPECIES
Ti 47.87 Ti.upf
W 183.84 W.upf
ATOMIC_POSITIONS angstrom
Ti 2.324 1.357 1.059
Ti 0.000 1.357 2.540
W 0.000 0.000 5.103
Ti 2.324 0.000 3.683
CELL_PARAMETERS angstrom
4.647 0.000 0.000
0.000 2.714 0.000
0.000 0.000 5.308